# 1
Entry from Alexandria: a relaxed La3Cu5S12 crystal (GGA-PBE).

As for the uncorrected formation energy: -0.718 eV/atom. For the total energy, the calculation gives -396.57 eV for the cell shown. The value obtained for the total magnetic moment is 0.000 μB per atom. The value obtained for the calculated volume is 422.5 Å³/f.u.

Cell lengths 12.9972, 12.9972, 12.9972 Å; angles 109.47, 109.47, 109.47 degrees
Last column: nearest neighbours and their distance in Å.
Positions (direct):
La1 0.7500 0.3750 0.1250  8 S 2.92-3.00
La2 0.8750 0.7500 0.1250  8 S 2.92-3.00
La3 0.3750 0.7500 0.6250  8 S 2.92-3.00
La4 0.2500 0.1250 0.3750  8 S 2.92-3.00
La5 0.8750 0.1250 0.2500  8 S 2.92-3.00
La6 0.3750 0.6250 0.2500  8 S 2.92-3.00
La7 0.6250 0.3750 0.7500  8 S 2.92-3.00
La8 0.1250 0.8750 0.7500  8 S 2.92-3.00
La9 0.7500 0.8750 0.6250  8 S 2.92-3.00
La10 0.6250 0.2500 0.3750  8 S 2.92-3.00
La11 0.1250 0.2500 0.8750  8 S 2.92-3.00
La12 0.2500 0.6250 0.8750  8 S 2.92-3.00
Cu1 0.1250 0.3750 0.2500  4 S 2.26
Cu2 0.0000 0.5000 0.0000  6 S 2.38
Cu3 0.0000 0.0000 0.0000  6 S 2.38
Cu4 0.3750 0.2500 0.1250  4 S 2.26
Cu5 0.5000 0.0000 0.5000  6 S 2.38
Cu6 0.5000 0.5000 0.0000  6 S 2.38
Cu7 0.1250 0.7500 0.3750  4 S 2.26
Cu8 0.7500 0.1250 0.8750  4 S 2.26
Cu9 0.7500 0.6250 0.3750  4 S 2.26
Cu10 0.3750 0.1250 0.7500  4 S 2.26
Cu11 0.6250 0.8750 0.2500  4 S 2.26
Cu12 0.5000 0.5000 0.5000  6 S 2.38
Cu13 0.5000 0.0000 0.0000  6 S 2.38
Cu14 0.0000 0.0000 0.5000  6 S 2.38
Cu15 0.2500 0.3750 0.6250  4 S 2.26
Cu16 0.2500 0.8750 0.1250  4 S 2.26
Cu17 0.0000 0.5000 0.5000  6 S 2.38
Cu18 0.8750 0.2500 0.6250  4 S 2.26
Cu19 0.6250 0.7500 0.8750  4 S 2.26
Cu20 0.8750 0.6250 0.7500  4 S 2.26
S1 0.7000 0.1160 0.0235  2 Cu 2.26-2.38
S2 0.3235 0.5235 0.4075  2 Cu 2.26-2.38
S3 0.9765 0.3840 0.3000  2 Cu 2.26-2.38
S4 0.5235 0.2000 0.1160  2 Cu 2.26-2.38
S5 0.5840 0.7000 0.6765  2 Cu 2.26-2.38
S6 0.9765 0.5925 0.1765  2 Cu 2.26-2.38
S7 0.3235 0.8000 0.4160  2 Cu 2.26-2.38
S8 0.0925 0.9160 0.1160  2 Cu 2.26-2.38
S9 0.5925 0.9765 0.6765  2 Cu 2.26-2.38
S10 0.7000 0.5840 0.1765  2 Cu 2.26-2.38
S11 0.8000 0.4765 0.3840  2 Cu 2.26-2.38
S12 0.8235 0.9075 0.0235  2 Cu 2.26-2.38
S13 0.1160 0.7000 0.5235  2 Cu 2.26-2.38
S14 0.3840 0.4075 0.0840  2 Cu 2.26-2.38
S15 0.0840 0.9075 0.3840  2 Cu 2.26-2.38
S16 0.4160 0.1160 0.5925  2 Cu 2.26-2.38
S17 0.0840 0.1765 0.2000  2 Cu 2.26-2.38
S18 0.4765 0.6765 0.0925  2 Cu 2.26-2.38
S19 0.8235 0.9160 0.3000  2 Cu 2.26-2.38
S20 0.1160 0.4160 0.0925  2 Cu 2.26-2.38
S21 0.3840 0.9765 0.8000  2 Cu 2.26-2.38
S22 0.5925 0.6160 0.4160  2 Cu 2.26-2.38
S23 0.9075 0.8235 0.5235  2 Cu 2.26-2.38
S24 0.8000 0.3235 0.9160  2 Cu 2.26-2.38
S25 0.4075 0.3840 0.5840  2 Cu 2.26-2.38
S26 0.0925 0.1765 0.4765  2 Cu 2.26-2.38
S27 0.2000 0.6765 0.0840  2 Cu 2.26-2.38
S28 0.1765 0.0840 0.7000  2 Cu 2.26-2.38
S29 0.6160 0.0235 0.2000  2 Cu 2.26-2.38
S30 0.8840 0.5840 0.9075  2 Cu 2.26-2.38
S31 0.5235 0.3235 0.9075  2 Cu 2.26-2.38
S32 0.5840 0.8840 0.4075  2 Cu 2.26-2.38
S33 0.9160 0.8235 0.8000  2 Cu 2.26-2.38
S34 0.9160 0.0925 0.6160  2 Cu 2.26-2.38
S35 0.8840 0.3000 0.4765  2 Cu 2.26-2.38
S36 0.1765 0.0925 0.9765  2 Cu 2.26-2.38
S37 0.6160 0.5925 0.9160  2 Cu 2.26-2.38
S38 0.4075 0.0235 0.3235  2 Cu 2.26-2.38
S39 0.3000 0.4160 0.8235  2 Cu 2.26-2.38
S40 0.2000 0.5235 0.6160  2 Cu 2.26-2.38
S41 0.9075 0.0840 0.8840  2 Cu 2.26-2.38
S42 0.6765 0.2000 0.5840  2 Cu 2.26-2.38
S43 0.4765 0.8000 0.8840  2 Cu 2.26-2.38
S44 0.0235 0.4075 0.8235  2 Cu 2.26-2.38
S45 0.4160 0.3000 0.3235  2 Cu 2.26-2.38
S46 0.0235 0.6160 0.7000  2 Cu 2.26-2.38
S47 0.6765 0.4765 0.5925  2 Cu 2.26-2.38
S48 0.3000 0.8840 0.9765  2 Cu 2.26-2.38



# 2
Entry from Alexandria: a relaxed LaCu3S3 crystal (GGA-PBE).

As for the uncorrected formation energy: -0.887 eV/atom. For the total energy, the calculation gives -71.62 eV for the cell shown. The value obtained for the total magnetic moment is 0.000 μB per atom. The value obtained for the calculated volume is 133.0 Å³/f.u.

Cell lengths 6.7888, 6.7888, 7.7310 Å; angles 63.96, 63.96, 60.00 degrees
Last column: nearest neighbours and their distance in Å.
Positions (direct):
La1 0.3335 0.3335 0.9994  6 S 2.88
La2 0.6665 0.6665 0.0006  6 S 2.88
Cu1 0.4652 0.7835 0.6282  4 S 2.34-2.41
Cu2 0.7835 0.1231 0.6282  4 S 2.34-2.41
Cu3 0.1231 0.4652 0.6282  4 S 2.34-2.41
Cu4 0.8769 0.5348 0.3718  4 S 2.34-2.41
Cu5 0.2165 0.8769 0.3718  4 S 2.34-2.41
Cu6 0.5348 0.2165 0.3718  4 S 2.34-2.41
S1 0.2412 0.5810 0.2661  4 Cu 2.34-2.41
S2 0.9117 0.2412 0.2661  4 Cu 2.34-2.41
S3 0.5810 0.9117 0.2661  4 Cu 2.34-2.41
S4 0.4190 0.0883 0.7339  4 Cu 2.34-2.41
S5 0.0883 0.7588 0.7339  4 Cu 2.34-2.41
S6 0.7588 0.4190 0.7339  4 Cu 2.34-2.41



# 3
Entry from Alexandria: a relaxed LaCuSbS2 crystal (GGA-PBE).

As for the uncorrected formation energy: -0.526 eV/atom. For the total energy, the calculation gives -24.03 eV for the cell shown. The value obtained for the total magnetic moment is 0.000 μB per atom. The value obtained for the calculated volume is 112.3 Å³/f.u.

Cell lengths 4.7554, 4.9668, 4.7554 Å; angles 90.00, 90.00, 90.00 degrees
Last column: nearest neighbours and their distance in Å.
Positions (direct):
Sb1 0.0000 0.5000 0.0000  2 Cu 2.48
S1 0.0000 0.0000 0.5000  2 Cu 2.38
S2 0.5000 0.0000 0.0000  2 Cu 2.38
Cu1 0.0000 0.0000 0.0000  4 S 2.38, 2 Sb 2.48
La1 0.5000 0.5000 0.5000  4 Sb 3.36, 8 S 3.44



# 4
Entry from Alexandria: a relaxed La2CuSbS5 crystal (GGA-PBE).

As for the uncorrected formation energy: -1.263 eV/atom. For the total energy, the calculation gives -100.16 eV for the cell shown. The value obtained for the total magnetic moment is 0.000 μB per atom. The value obtained for the calculated volume is 212.6 Å³/f.u. The calculation puts the energy above the lowest structure with this stoichiometry at 61 meV per atom.

Cell lengths 4.0775, 9.0094, 11.8849 Å; angles 90.00, 90.00, 103.08 degrees
Last column: nearest neighbours and their distance in Å.
Positions (direct):
La1 0.8753 0.7506 0.7977  8 S 3.01-3.11, 1 Cu 3.19
La2 0.1177 0.2355 0.6703  7 S 2.91-3.15, 2 Cu 3.19
La3 0.1247 0.2494 0.2977  8 S 3.01-3.11, 1 Cu 3.19
La4 0.8823 0.7645 0.1703  7 S 2.91-3.15, 2 Cu 3.19
Cu1 0.7500 0.5000 0.6031  4 S 2.28-2.50
Cu2 0.2500 0.5000 0.1031  4 S 2.28-2.50
Sb1 0.5927 0.1853 0.9671  5 S 2.60-2.73
Sb2 0.4073 0.8147 0.4671  5 S 2.60-2.73
S1 0.3544 0.7088 0.9884  1 Cu 2.28
S2 0.6995 0.3991 0.7996  1 Cu 2.50, 1 Sb 2.73
S3 0.5045 0.0090 0.7835  1 Sb 2.67
S4 0.3067 0.6133 0.6418  2 Cu 2.31
S5 0.9659 0.9318 0.5725  2 Sb 2.60, 1 La 2.91
S6 0.6456 0.2912 0.4884  1 Cu 2.28
S7 0.3005 0.6009 0.2996  1 Cu 2.50, 1 Sb 2.73
S8 0.4955 0.9910 0.2835  1 Sb 2.67
S9 0.6933 0.3867 0.1418  2 Cu 2.31
S10 0.0341 0.0682 0.0725  2 Sb 2.60, 1 La 2.91



What is the formula in the third record?
LaCuSbS2